Entry 1:
VASP calculation (GGA-PBE) on a relaxed RbNa2Bi2 crystal.

Structure (CIF):
```
data_RbNa2Bi2
_symmetry_space_group_name_H-M 'P 4/m b m'
_symmetry_Int_Tables_number 127
_symmetry_space_group_name_Hall '-P 4 2ab'
_cell_length_a 9.914
_cell_length_b 9.914
_cell_length_c 3.405
_cell_angle_alpha 90.00
_cell_angle_beta 90.00
_cell_angle_gamma 90.00
loop_
_atom_site_label
_atom_site_fract_x
_atom_site_fract_y
_atom_site_fract_z
Rb1 0.000 0.000 0.000
Na1 0.123 0.377 0.000
Bi1 0.170 0.670 0.500
```

Results
Total energy: -2.586 eV per atom

---

Entry 2:
VASP calculation (GGA-PBE) on a relaxed LiLa2MnSi crystal.

Structure (CIF):
```
data_LiLa2MnSi
_symmetry_space_group_name_H-M 'P 4/m m m'
_symmetry_Int_Tables_number 123
_symmetry_space_group_name_Hall '-P 4 2'
_cell_length_a 5.820
_cell_length_b 5.820
_cell_length_c 4.505
_cell_angle_alpha 90.00
_cell_angle_beta 90.00
_cell_angle_gamma 90.00
loop_
_atom_site_label
_atom_site_fract_x
_atom_site_fract_y
_atom_site_fract_z
Li1 0.000 0.000 0.000
La1 0.000 0.500 0.500
Mn1 0.500 0.500 0.000
Si1 0.500 0.500 0.500
```

Results
Uncorrected formation energy: 0.119 eV/atom

---

Entry 3:
VASP calculation (GGA-PBE) on a relaxed PrAlInPd3 crystal.

Structure (CIF):
```
data_PrAlInPd3
_symmetry_space_group_name_H-M 'C m c m'
_symmetry_Int_Tables_number 63
_symmetry_space_group_name_Hall '-C 2c 2'
_cell_length_a 7.016
_cell_length_b 12.430
_cell_length_c 5.889
_cell_angle_alpha 90.00
_cell_angle_beta 90.00
_cell_angle_gamma 90.00
loop_
_atom_site_label
_atom_site_fract_x
_atom_site_fract_y
_atom_site_fract_z
Pr1 0.000 0.196 0.250
Al1 0.000 0.125 0.750
In1 0.000 0.448 0.250
Pd1 0.000 0.324 0.750
Pd2 0.196 0.000 0.000
```

Results
Total energy: -5.016 eV per atom